Compound: Li4Ti3V2Cr3O16
Source: Alexandria via LeMat-Bulk
Functional: PBE+U
Structure: relaxed

For the total energy, the calculation gives -214.4 eV per formula unit.

Unit cell a=10.2394 b=5.9337 c=9.5807 alpha=90.00 beta=90.77 gamma=90.00
Space group Cm (No. 8)
Symmetry-distinct sites (fractional):
Li: 0.0000 0.0000 0.0000
Li: 0.0051 0.0000 0.5058
Li: 0.1696 0.5000 0.8993
Li: 0.3367 0.0000 0.4061
Ti: 0.0880 0.2514 0.2229
Ti: 0.1778 0.0000 0.7265
V: 0.1754 0.5000 0.5000
V: 0.3414 0.0000 0.9933
Cr: 0.3325 0.5000 0.2214
Cr: 0.4216 0.2416 0.7188
O: 0.0045 0.0000 0.3201
O: 0.0074 0.0000 0.8129
O: 0.0253 0.5000 0.3487
O: 0.0884 0.2506 0.6029
O: 0.1632 0.5000 0.1126
O: 0.1658 0.0000 0.1155
O: 0.2406 0.2789 0.3489
O: 0.2625 0.2196 0.8461
O: 0.3312 0.0000 0.6099
O: 0.3321 0.5000 0.5982
O: 0.4245 0.2533 0.1098
O: 0.4868 0.0000 0.8432